Entry 1:
## LiTb2C (GGA-PBE)

Data for a geometry-optimized LiTb2C structure.

Values from the calculation:
Energy of formation in kJ/mol of atoms: 26
ΔE to the lowest computed polymorph in eV per atom: 0.408

```
data_LiTb2C
_chemical_formula_sum 'Li1 Tb2 C1'
_symmetry_space_group_name_H-M 'P 4/m m m'
_symmetry_Int_Tables_number 123
_symmetry_space_group_name_Hall '-P 4 2'
_cell_length_a 3.221
_cell_length_b 3.221
_cell_length_c 7.894
_cell_angle_alpha 90.00
_cell_angle_beta 90.00
_cell_angle_gamma 90.00
loop_
_atom_site_label
_atom_site_fract_x
_atom_site_fract_y
_atom_site_fract_z
Li1 0.000 0.000 0.000
Tb1 0.500 0.500 0.326
C1 0.000 0.000 0.500
```

---

Entry 2:
## LiTb8C4 (GGA-PBE)

Data for a geometry-optimized LiTb8C4 structure.

Values from the calculation:
Energy of formation in kJ/mol of atoms: -16

```
data_LiTb8C4
_chemical_formula_sum 'Li2 Tb16 C8'
_symmetry_space_group_name_H-M 'C 1 2/m 1'
_symmetry_Int_Tables_number 12
_cell_length_a 18.141
_cell_length_b 3.619
_cell_length_c 12.791
_cell_angle_alpha 90.00
_cell_angle_beta 134.71
_cell_angle_gamma 90.00
loop_
_symmetry_equiv_pos_as_xyz
'x,y,z'
'-x,-y,-z'
'-x,y,-z'
'x,-y,z'
'x+1/2,y+1/2,z'
'-x+1/2,-y+1/2,-z'
'-x+1/2,y+1/2,-z'
'x+1/2,-y+1/2,z'
loop_
_atom_site_label
_atom_site_fract_x
_atom_site_fract_y
_atom_site_fract_z
Li1 0.000 0.000 0.000
Tb1 0.043 0.000 0.706
Tb2 0.153 0.500 0.342
Tb3 0.158 0.500 0.614
Tb4 0.191 0.500 0.040
C1 0.156 0.000 0.478
C2 0.177 0.500 0.834
```

---

Entry 3:
## LiTbC (GGA-PBE)

Data for a geometry-optimized LiTbC structure.

Values from the calculation:
Energy of formation in kJ/mol of atoms: -11
ΔE to the lowest computed polymorph in eV per atom: 0.000

```
data_LiTbC
_chemical_formula_sum 'Li4 Tb4 C4'
_symmetry_space_group_name_H-M 'F -4 3 m'
_symmetry_Int_Tables_number 216
_symmetry_space_group_name_Hall 'F -4 2 3'
_cell_length_a 5.714
_cell_length_b 5.714
_cell_length_c 5.714
_cell_angle_alpha 90.00
_cell_angle_beta 90.00
_cell_angle_gamma 90.00
loop_
_atom_site_label
_atom_site_fract_x
_atom_site_fract_y
_atom_site_fract_z
Li1 0.000 0.000 0.000
Tb1 0.000 0.000 0.500
C1 0.250 0.250 0.750
```

---

Entry 4:
## LiTb2C (GGA-PBE)

Data for a geometry-optimized LiTb2C structure.

Values from the calculation:
Energy of formation in kJ/mol of atoms: -8
ΔE to the lowest computed polymorph in eV per atom: 0.053

```
data_LiTb2C
_chemical_formula_sum 'Li3 Tb6 C3'
_symmetry_space_group_name_H-M 'R -3 m'
_symmetry_Int_Tables_number 166
_symmetry_space_group_name_Hall '-R 3 2"'
_cell_length_a 3.5293
_cell_length_b 3.5293
_cell_length_c 28.3380
_cell_angle_alpha 90.00
_cell_angle_beta 90.00
_cell_angle_gamma 120.00
loop_
_atom_site_label
_atom_site_fract_x
_atom_site_fract_y
_atom_site_fract_z
Li1 0.0000 0.0000 0.0000
Tb1 0.0000 0.0000 0.1186
C1 0.0000 0.0000 0.5000
```